(1)
First-principles (PBE) data for an optimized crystal structure of P3Ru2, as listed in Alexandria.

a = 3.950 Å, b = 3.950 Å, c = 5.337 Å
α = 90.00°, β = 90.00°, γ = 120.00°
Fractional coordinates of all 5 atoms:
P1 0.000 0.000 0.000
P2 0.333 0.667 0.369
P3 0.667 0.333 0.631
Ru1 0.333 0.667 0.826
Ru2 0.667 0.333 0.174

Properties
SG: No. 164

=====

(2)
First-principles (PBE) data for an optimized crystal structure of Ce2InPd6, as listed in Alexandria.

a = 5.756 Å, b = 5.756 Å, c = 6.248 Å
α = 90.00°, β = 90.00°, γ = 120.00°
Fractional coordinates of all 9 atoms:
Ce1 0.333 0.667 0.286
Ce2 0.667 0.333 0.714
In1 0.000 0.000 0.500
Pd1 0.174 0.348 0.824
Pd2 0.174 0.826 0.824
Pd3 0.348 0.174 0.176
Pd4 0.652 0.826 0.824
Pd5 0.826 0.174 0.176
Pd6 0.826 0.652 0.176

Properties
SG: No. 164

=====

(3)
First-principles (PBE) data for an optimized crystal structure of Ce4As3N2, as listed in Alexandria.

a = 6.832 Å, b = 6.832 Å, c = 9.050 Å
α = 121.96°, β = 121.96°, γ = 34.38°
Fractional coordinates of all 9 atoms:
Ce1 0.108 0.108 0.398
Ce2 0.310 0.310 0.879
Ce3 0.690 0.690 0.121
Ce4 0.892 0.892 0.602
As1 0.000 0.000 0.000
As2 0.387 0.387 0.286
As3 0.613 0.613 0.714
N1 0.311 0.311 0.639
N2 0.689 0.689 0.361

Properties
SG: No. 12

=====

no.,uncorrected energy (eV/cell)
1,-35.5
2,-51.8
3,-66.7